# 1
! PrZn11 SCAN single point on PBEsol structure; values from VASP
&SYSTEM
  ibrav = 0, nat = 24, ntyp = 2
/
ATOMIC_SPECIES
Pr 140.91 Pr.upf
Zn 65.41 Zn.upf
CELL_PARAMETERS angstrom
-5.2236 5.2236 3.3538
5.2236 -5.2236 3.3538
5.2236 5.2236 -3.3538
ATOMIC_POSITIONS crystal
Pr 0.3750 0.6250 0.7500
Pr 0.6250 0.3750 0.2500
Zn 0.0000 0.0000 0.0000
Zn 0.0000 0.0000 0.5000
Zn 0.0000 0.5000 0.0000
Zn 0.1250 0.8750 0.2500
Zn 0.1334 0.5559 0.3337
Zn 0.1334 0.7997 0.5775
Zn 0.2003 0.2778 0.3337
Zn 0.2003 0.8666 0.9225
Zn 0.2778 0.2003 0.8337
Zn 0.2778 0.4441 0.0775
Zn 0.4441 0.2778 0.5775
Zn 0.4441 0.8666 0.1663
Zn 0.5000 0.0000 0.5000
Zn 0.5559 0.1334 0.8337
Zn 0.5559 0.7222 0.4225
Zn 0.7222 0.5559 0.9225
Zn 0.7222 0.7997 0.1663
Zn 0.7997 0.1334 0.0775
Zn 0.7997 0.7222 0.6663
Zn 0.8666 0.2003 0.4225
Zn 0.8666 0.4441 0.6663
Zn 0.8750 0.1250 0.7500
! DFT formation energy, eV per atom: -0.279
! Density of states at the Fermi level, states/eV/cell: 5.7
! Symmetry: No. 141

=====

# 2
! Pr2Zn17 SCAN single point on PBEsol structure; values from VASP
&SYSTEM
  ibrav = 0, nat = 38, ntyp = 2
/
ATOMIC_SPECIES
Pr 140.91 Pr.upf
Zn 65.41 Zn.upf
CELL_PARAMETERS angstrom
8.8907 0.0000 0.0000
-4.4454 7.6996 0.0000
0.0000 0.0000 8.6920
ATOMIC_POSITIONS crystal
Pr 0.0000 0.0000 0.2500
Pr 0.0000 0.0000 0.7500
Pr 0.3333 0.6667 0.2500
Pr 0.6667 0.3333 0.7500
Zn 0.0000 0.5000 0.0000
Zn 0.0000 0.5000 0.5000
Zn 0.0425 0.3719 0.7500
Zn 0.0425 0.6705 0.7500
Zn 0.1624 0.3249 0.0191
Zn 0.1624 0.3249 0.4809
Zn 0.1624 0.8376 0.0191
Zn 0.1624 0.8376 0.4809
Zn 0.3249 0.1624 0.5191
Zn 0.3249 0.1624 0.9809
Zn 0.3295 0.3719 0.7500
Zn 0.3295 0.9575 0.7500
Zn 0.3333 0.6667 0.6038
Zn 0.3333 0.6667 0.8962
Zn 0.3719 0.0425 0.2500
Zn 0.3719 0.3295 0.2500
Zn 0.5000 0.0000 0.0000
Zn 0.5000 0.0000 0.5000
Zn 0.5000 0.5000 0.0000
Zn 0.5000 0.5000 0.5000
Zn 0.6281 0.6705 0.7500
Zn 0.6281 0.9575 0.7500
Zn 0.6667 0.3333 0.1038
Zn 0.6667 0.3333 0.3962
Zn 0.6705 0.0425 0.2500
Zn 0.6705 0.6281 0.2500
Zn 0.6751 0.8376 0.0191
Zn 0.6751 0.8376 0.4809
Zn 0.8376 0.1624 0.5191
Zn 0.8376 0.1624 0.9809
Zn 0.8376 0.6751 0.5191
Zn 0.8376 0.6751 0.9809
Zn 0.9575 0.3295 0.2500
Zn 0.9575 0.6281 0.2500
! DFT formation energy, eV per atom: -0.316
! Density of states at the Fermi level, states/eV/cell: 9.8
! Symmetry: No. 194

=====

# 3
! RbPt2 SCAN single point on PBEsol structure; values from VASP
&SYSTEM
  ibrav = 0, nat = 24, ntyp = 2
/
ATOMIC_SPECIES
Rb 85.47 Rb.upf
Pt 195.08 Pt.upf
CELL_PARAMETERS angstrom
5.5289 0.0000 0.0000
-2.7644 4.7882 0.0000
0.0000 0.0000 18.0763
ATOMIC_POSITIONS crystal
Rb 0.0000 0.0000 0.0925
Rb 0.0000 0.0000 0.4075
Rb 0.0000 0.0000 0.5925
Rb 0.0000 0.0000 0.9075
Rb 0.3333 0.6667 0.1563
Rb 0.3333 0.6667 0.3437
Rb 0.6667 0.3333 0.6563
Rb 0.6667 0.3333 0.8437
Pt 0.0000 0.5000 0.0000
Pt 0.0000 0.5000 0.5000
Pt 0.1672 0.3343 0.7500
Pt 0.1672 0.8328 0.7500
Pt 0.3333 0.6667 0.6219
Pt 0.3333 0.6667 0.8781
Pt 0.3343 0.1672 0.2500
Pt 0.5000 0.0000 0.0000
Pt 0.5000 0.0000 0.5000
Pt 0.5000 0.5000 0.0000
Pt 0.5000 0.5000 0.5000
Pt 0.6657 0.8328 0.7500
Pt 0.6667 0.3333 0.1219
Pt 0.6667 0.3333 0.3781
Pt 0.8328 0.1672 0.2500
Pt 0.8328 0.6657 0.2500
! DFT formation energy, eV per atom: -0.085
! Density of states at the Fermi level, states/eV/cell: 6.1
! Symmetry: No. 194

=====

# 4
! RbPt3 SCAN single point on PBEsol structure; values from VASP
&SYSTEM
  ibrav = 0, nat = 16, ntyp = 2
/
ATOMIC_SPECIES
Rb 85.47 Rb.upf
Pt 195.08 Pt.upf
CELL_PARAMETERS angstrom
6.6351 0.0000 0.0000
0.0000 6.6351 0.0000
0.0000 0.0000 6.6351
ATOMIC_POSITIONS crystal
Rb 0.0000 0.0000 0.0000
Rb 0.0000 0.5000 0.5000
Rb 0.5000 0.0000 0.5000
Rb 0.5000 0.5000 0.0000
Pt 0.0000 0.0000 0.5000
Pt 0.0000 0.5000 0.0000
Pt 0.2500 0.2500 0.2500
Pt 0.2500 0.2500 0.7500
Pt 0.2500 0.7500 0.2500
Pt 0.2500 0.7500 0.7500
Pt 0.5000 0.0000 0.0000
Pt 0.5000 0.5000 0.5000
Pt 0.7500 0.2500 0.2500
Pt 0.7500 0.2500 0.7500
Pt 0.7500 0.7500 0.2500
Pt 0.7500 0.7500 0.7500
! E above lowest polymorph, meV/atom: 1076
! DFT formation energy, eV per atom: 0.879
! Density of states at the Fermi level, states/eV/cell: 18.2
! Symmetry: No. 225

=====

# 5
! RbPt2 SCAN single point on PBEsol structure; values from VASP
&SYSTEM
  ibrav = 0, nat = 6, ntyp = 2
/
ATOMIC_SPECIES
Rb 85.47 Rb.upf
Pt 195.08 Pt.upf
CELL_PARAMETERS angstrom
2.7964 0.0000 0.0000
0.0000 4.3452 0.0000
0.0000 0.0000 11.6619
ATOMIC_POSITIONS crystal
Rb 0.0000 0.0000 0.0000
Rb 0.5000 0.5000 0.5000
Pt 0.0000 0.0000 0.2675
Pt 0.0000 0.0000 0.7325
Pt 0.5000 0.5000 0.2325
Pt 0.5000 0.5000 0.7675
! DFT formation energy, eV per atom: -0.094
! Density of states at the Fermi level, states/eV/cell: 2.9
! Symmetry: No. 71

=====

# 6
! RbPt3 SCAN single point on PBEsol structure; values from VASP
&SYSTEM
  ibrav = 0, nat = 8, ntyp = 2
/
ATOMIC_SPECIES
Rb 85.47 Rb.upf
Pt 195.08 Pt.upf
CELL_PARAMETERS angstrom
4.4520 0.0000 0.0000
0.0000 7.7329 0.0000
0.0000 0.0000 6.1459
ATOMIC_POSITIONS crystal
Rb 0.2500 0.2500 0.0563
Rb 0.7500 0.7500 0.9437
Pt 0.2500 0.0802 0.5508
Pt 0.2500 0.4198 0.5508
Pt 0.2500 0.7500 0.4777
Pt 0.7500 0.2500 0.5223
Pt 0.7500 0.5802 0.4492
Pt 0.7500 0.9198 0.4492
! E above lowest polymorph, meV/atom: 0
! DFT formation energy, eV per atom: -0.197
! Density of states at the Fermi level, states/eV/cell: 5.7
! Symmetry: No. 59